Below is crystalline BaNaLuTe3 at its relaxed geometry, with properties calculated at the GGA-PBE level.

a b c (Å): 9.1091 4.6109 10.3062
angles (deg): 90.00 106.96 90.00
Atoms (fractional coordinates):
Te1 0.9530 0.7500 0.6505
Te2 0.2304 0.2500 0.9661
Te3 0.0470 0.2500 0.3495
Te4 0.3954 0.7500 0.6219
Te5 0.7696 0.7500 0.0339
Te6 0.6046 0.2500 0.3781
Na1 0.5902 0.2500 0.0892
Na2 0.4098 0.7500 0.9108
Ba1 0.2798 0.7500 0.2469
Ba2 0.7202 0.2500 0.7531
Lu1 0.8216 0.7500 0.3453
Lu2 0.1784 0.2500 0.6547

Properties
- Raw total energy: -4.1946 eV per atom